EuPaIn2 GGA-PBE relaxed; D(E_F) = 1.4530 states/eV/atom; final energy = -0.239 hartree per atom; energy of formation from the pure elements = -0.19 eV/atom; energy relative to the lowest polymorph listed for this composition = 0 meV/atom
1.0
3.357 0.000 0.000
0.000 3.357 0.000
0.000 0.000 9.532
Eu Pa In
1 1 2
Direct
0.500 0.500 0.500
0.500 0.500 0.000
0.000 0.000 0.758
0.000 0.000 0.242

---

EuPaIn2 GGA-PBE relaxed; D(E_F) = 1.4143 states/eV/atom; final energy = -0.237 hartree per atom; energy of formation from the pure elements = -0.13 eV/atom; energy relative to the lowest polymorph listed for this composition = 64 meV/atom
1.0
-2.462 -1.190 -1.702
3.212 -4.667 -1.383
-1.955 -2.754 4.754
Pa Eu In
1 1 2
Direct
0.500 0.500 0.500
0.500 0.000 0.000
0.000 0.500 0.000
0.000 0.000 0.500

---

EuInPb GGA-PBE relaxed; D(E_F) = 2.5051 states/eV/atom; final energy = -0.218 hartree per atom; energy of formation from the pure elements = -0.37 eV/atom; energy relative to the lowest polymorph listed for this composition = 0 meV/atom
1.0
3.731 0.000 0.000
0.000 5.292 0.000
0.000 -2.646 4.583
Pb Eu In
1 1 1
Direct
0.258 0.333 0.667
0.666 0.667 0.333
0.075 0.000 0.000